Compound: TaTiAs2N
Source: the Alexandria database
Functional: GGA-PBE
Structure: relaxed

Values from the calculation:
The formation energy (no corrections) is 296 meV/atom.

abc: 5.066 5.066 3.885
angles: 90.00 90.00 90.00
Positions (direct):
Ta 0.000 0.000 0.000
Ti 0.500 0.500 0.500
As 0.000 0.500 0.000
As 0.500 0.000 0.000
N 0.000 0.000 0.500

=====

Compound: Ca2TbPmS4
Source: the Alexandria database
Functional: GGA-PBE
Structure: relaxed

Values from the calculation:
The formation energy (no corrections) is -2060 meV/atom.

abc: 6.887 3.977 7.006
angles: 90.00 109.13 90.00
Positions (direct):
Ca 0.000 0.000 0.000
Ca 0.500 0.500 0.000
Tb 0.000 0.500 0.500
Pm 0.500 0.000 0.500
S 0.244 0.500 0.248
S 0.245 0.000 0.748
S 0.755 0.000 0.252
S 0.756 0.500 0.752

=====

Compound: BaTlB12
Source: the Alexandria database
Functional: GGA-PBE
Structure: relaxed

Values from the calculation:
The calculation puts the formation energy from the elements at -0.0790 eV/atom.

abc: 6.036 6.036 6.036
angles: 60.00 60.00 60.00
Positions (direct):
Ba 0.000 0.000 0.000
Tl 0.500 0.500 0.500
B 0.101 0.101 0.399
B 0.101 0.399 0.101
B 0.101 0.399 0.399
B 0.399 0.101 0.101
B 0.399 0.101 0.399
B 0.399 0.399 0.101
B 0.601 0.601 0.899
B 0.601 0.899 0.601
B 0.601 0.899 0.899
B 0.899 0.601 0.601
B 0.899 0.601 0.899
B 0.899 0.899 0.601

=====

Compound: Ta2BiIrF
Source: the Alexandria database
Functional: GGA-PBE
Structure: relaxed

Values from the calculation:
The formation energy (no corrections) is 2226 meV/atom.

abc: 5.285 5.285 4.920
angles: 90.00 90.00 90.00
Positions (direct):
Ta 0.000 0.500 0.000
Ta 0.500 0.000 0.000
Bi 0.000 0.000 0.000
Ir 0.000 0.000 0.500
F 0.500 0.500 0.500

=====

Compound: Ac4NiHg
Source: the Alexandria database
Functional: GGA-PBE
Structure: relaxed

Values from the calculation:
The calculation puts the formation energy from the elements at -0.2172 eV/atom. For the energy above the most stable polymorph in this dataset, the calculation gives 0 meV/atom.

abc: 6.736 7.613 8.918
angles: 90.00 109.78 90.00
Positions (direct):
Ac 0.016 0.003 0.220
Ac 0.016 0.497 0.220
Ac 0.428 0.250 0.634
Ac 0.452 0.250 0.085
Ac 0.548 0.750 0.915
Ac 0.572 0.750 0.366
Ac 0.984 0.503 0.780
Ac 0.984 0.997 0.780
Ni 0.206 0.750 0.052
Ni 0.794 0.250 0.948
Hg 0.201 0.750 0.550
Hg 0.799 0.250 0.450

=====

Compound: Cs3AlAu4
Source: the Alexandria database
Functional: GGA-PBE
Structure: relaxed

Values from the calculation:
The calculation puts the formation energy from the elements at -0.2853 eV/atom.

abc: 7.138 7.138 7.138
angles: 122.01 106.56 100.66
Positions (direct):
Cs 0.000 0.000 0.000
Cs 0.054 0.329 0.725
Cs 0.604 0.329 0.275
Al 0.393 0.893 0.500
Au 0.454 0.718 0.736
Au 0.570 0.362 0.792
Au 0.570 0.778 0.208
Au 0.982 0.718 0.264

=====

Computed total moment, in the same sequence as the records: 0.0001 0.0000 0.0000 0.4036 0.0000 0.0000 μB/atom.